Material: NbCuIrO6
Method: DFT, PBE
State: relaxed

The structure in POSCAR format:
```
NbCuIrO6
1.0
-3.973 2.964 -1.137
0.989 -4.117 -2.817
-5.266 -4.978 5.426
Nb Cu Ir O
2 2 2 12
Direct
0.333 0.667 0.250
0.667 0.333 0.750
0.000 0.000 0.000
0.000 0.000 0.500
0.667 0.333 0.250
0.333 0.667 0.750
0.660 0.657 0.128
0.996 0.340 0.128
0.340 0.996 0.628
0.004 0.660 0.872
0.343 0.340 0.372
0.996 0.657 0.372
0.657 0.996 0.872
0.660 0.004 0.372
0.004 0.343 0.628
0.343 0.004 0.128
0.657 0.660 0.628
0.340 0.343 0.872
```

Properties
Formation energy without anion corrections in eV per formula unit: -11.2
Total energy in eV per atom: -7.1076
SG: P-31c (163)

---

Material: NbCuIrOs
Method: DFT, PBE
State: relaxed

The structure in POSCAR format:
```
NbCuIrOs
1.0
-2.932 -0.195 -3.257
0.925 -2.247 -3.652
-2.089 -3.763 -0.848
Nb Ir Os Cu
1 1 1 1
Direct
0.000 0.000 0.000
0.250 0.250 0.250
0.750 0.750 0.750
0.500 0.500 0.500
```

Properties
Formation energy in eV per atom: -0.056
Total energy in eV per atom: -8.6206
SG: F-43m (216)

---

Material: NbCuIr2Pd
Method: DFT, PBE
State: relaxed

The structure in POSCAR format:
```
NbCuIr2Pd
1.0
-3.134 -2.356 -2.143
-0.837 -2.236 3.684
-3.069 3.039 1.147
Nb Ir Cu Pd
1 2 1 1
Direct
0.500 0.500 0.500
0.000 0.000 0.500
0.500 0.000 0.000
0.000 0.000 0.000
0.000 0.500 0.000
```

Properties
Formation energy in eV per atom: 1.059
Total energy in eV per atom: -6.3571
SG: P4/mmm (123)

---

Material: NbCuIrRh
Method: DFT, PBE
State: relaxed

The structure in POSCAR format:
```
NbCuIrRh
1.0
4.378 0.000 0.000
2.189 3.791 0.000
2.189 1.264 3.575
Nb Ir Rh Cu
1 1 1 1
Direct
0.750 0.750 0.750
0.500 0.500 0.500
0.000 0.000 0.000
0.250 0.250 0.250
```

Properties
Formation energy in eV per atom: -0.336
Total energy in eV per atom: -7.9311
SG: F-43m (216)

---

total energy of number 3 (NbCuIr2Pd)? -6.3571 eV per atom

---

Which of these has the lowest total energy? NbCuIrOs

---

Number 1 is which compound? NbCuIrO6